Record 1
Here is an optimized crystal structure of GdHoSn2Ir4 from the Open Quantum Materials Database. Energies are from PBE.

Unit cell a=4.5079 b=4.5079 c=9.0524 alpha=90.00 beta=90.00 gamma=120.00
Fractional positions:
Gd 0.0000 0.0000 0.0000
Sn 0.6667 0.3333 0.2514
Sn 0.6667 0.3333 0.7486
Ir 0.0000 0.0000 0.6494
Ir 0.0000 0.0000 0.3506
Ir 0.3333 0.6667 0.8471
Ir 0.3333 0.6667 0.1529
Ho 0.3333 0.6667 0.5000


Record 2
Here is an optimized crystal structure of KGdHo from the Open Quantum Materials Database. Energies are from PBE.

Unit cell a=5.8831 b=5.8831 c=5.8831 alpha=60.00 beta=60.00 gamma=60.00
Last column: magnetic moment on the atom in μB.
Fractional positions:
Gd 0.5000 0.5000 0.5000  0.23
Ho 0.2500 0.2500 0.2500  0.25
K 0.0000 0.0000 0.0000  0.01

Calculated values
distance to the lowest polymorph of the same formula: 0 meV per atom


Record 3
Here is an optimized crystal structure of LaGdHo from the Open Quantum Materials Database. Energies are from PBE.

Unit cell a=5.5107 b=5.5107 c=5.5107 alpha=60.00 beta=60.00 gamma=60.00
Fractional positions:
Gd 0.2500 0.2500 0.2500
La 0.7500 0.7500 0.7500
Ho 0.0000 0.0000 0.0000

Calculated values
distance to the lowest polymorph of the same formula: 0 meV per atom
calculated formation energy: 686.5 meV/atom


Record 4
Here is an optimized crystal structure of GdHo2Lu from the Open Quantum Materials Database. Energies are from PBE.

Unit cell a=5.5857 b=7.1559 c=7.1559 alpha=60.01 beta=90.00 gamma=90.00
Fractional positions:
Ho 0.5000 0.1658 0.1658
Ho 0.5000 0.6683 0.1659
Ho 0.0000 0.8343 0.8343
Ho 0.5000 0.1659 0.6683
Gd 0.5000 0.6666 0.6666
Gd 0.0000 0.3335 0.3335
Lu 0.0000 0.3315 0.8341
Lu 0.0000 0.8341 0.3315

Calculated values
calculated formation energy: 5.4 meV/atom


Record 5
Here is an optimized crystal structure of GdHoLu from the Open Quantum Materials Database. Energies are from PBE.

Unit cell a=6.0688 b=6.0688 c=6.0688 alpha=146.36 beta=132.10 gamma=59.80
Fractional positions:
Ho 0.6558 0.6558 0.0000
Gd 0.3250 0.3250 0.0000
Lu 0.9916 0.9916 0.0000

Calculated values
distance to the lowest polymorph of the same formula: 0 meV per atom
calculated formation energy: 23.9 meV/atom


Record 6
Here is an optimized crystal structure of GdHoLu6 from the Open Quantum Materials Database. Energies are from PBE.

Unit cell a=7.0625 b=7.0625 c=5.5068 alpha=90.00 beta=90.00 gamma=120.00
Fractional positions:
Gd 0.0000 0.0000 0.5000
Lu 0.8324 0.1676 0.0000
Lu 0.5009 0.0019 0.5000
Lu 0.3352 0.1676 0.0000
Lu 0.5009 0.4991 0.5000
Lu 0.9981 0.4991 0.5000
Lu 0.8324 0.6648 0.0000
Ho 0.3333 0.6667 0.0000

Calculated values
calculated formation energy: 0.7 meV/atom


Record 7
Here is an optimized crystal structure of GdHo2Lu from the Open Quantum Materials Database. Energies are from PBE.

Unit cell a=5.5861 b=7.1566 c=7.1566 alpha=119.99 beta=90.00 gamma=90.00
Fractional positions:
Lu 0.2500 0.1659 0.3317
Lu 0.7500 0.3317 0.1659
Ho 0.7500 0.8340 0.6684
Ho 0.2500 0.1656 0.8341
Ho 0.2500 0.6684 0.8340
Ho 0.7500 0.8341 0.1656
Gd 0.7500 0.3336 0.6668
Gd 0.2500 0.6668 0.3336

Calculated values
calculated formation energy: 5.1 meV/atom


Record 8
Here is an optimized crystal structure of GdHoLu from the Open Quantum Materials Database. Energies are from PBE.

Unit cell a=5.3535 b=5.3535 c=5.3535 alpha=60.00 beta=60.00 gamma=60.00
Fractional positions:
Ho 0.0000 0.0000 0.0000
Lu 0.2500 0.2500 0.2500
Gd 0.5000 0.5000 0.5000

Calculated values
distance to the lowest polymorph of the same formula: 688 meV per atom
calculated formation energy: 711.9 meV/atom


For each record above, in turn, the calculated VASP energy values are -7.138 -2.269 -4.031 -4.578 -4.561 -4.546 -4.578 -3.873 eV per atom.